No. 1
! Be4TcSb PBE relaxed; values from VASP
&SYSTEM
  ibrav = 0, nat = 6, ntyp = 3
/
ATOMIC_SPECIES
Be 9.01 Be.upf
Tc 98.00 Tc.upf
Sb 121.76 Sb.upf
CELL_PARAMETERS angstrom
0.000 3.208 3.208
3.208 0.000 3.208
3.208 3.208 0.000
ATOMIC_POSITIONS crystal
Be 0.119 0.627 0.627
Be 0.627 0.119 0.627
Be 0.627 0.627 0.627
Tc 0.000 0.000 0.000
Sb 0.250 0.250 0.250
Be 0.627 0.627 0.119
! Raw formation energy, eV/atom: -0.03
! Total magnetization, μB/atom: 0.000
! DFT total energy, eV for the cell shown: -29.557

No. 2
! K3Sb4Rh4 PBE relaxed; values from VASP
&SYSTEM
  ibrav = 0, nat = 11, ntyp = 3
/
ATOMIC_SPECIES
Rh 102.91 Rh.upf
K 39.10 K.upf
Sb 121.76 Sb.upf
CELL_PARAMETERS angstrom
6.678 0.000 -2.361
-3.339 5.784 -2.361
0.000 0.000 7.083
ATOMIC_POSITIONS crystal
Rh 0.258 0.000 0.000
Rh 0.000 0.258 0.000
K 0.000 0.500 0.500
Sb 0.000 0.000 0.626
K 0.500 0.500 0.000
Sb 0.626 0.000 0.000
Sb 0.374 0.374 0.374
Sb 0.000 0.626 0.000
Rh 0.000 0.000 0.258
Rh 0.742 0.742 0.742
K 0.500 0.000 0.500
! Raw formation energy, eV/atom: -0.42
! Total magnetization, μB/atom: 0.000
! DFT total energy, eV for the cell shown: -53.862